# Tb2Be3ZnNi12 | Alexandria via LeMat-Bulk | PBE | optimized geometry
data_Tb2Be3ZnNi12
_cell_length_a 7.5081
_cell_length_b 7.5081
_cell_length_c 15.4471
_cell_angle_alpha 90.00
_cell_angle_beta 90.00
_cell_angle_gamma 120.00
_symmetry_space_group_name_H-M 'R -3 m'
_symmetry_Int_Tables_number 166
_symmetry_space_group_name_Hall '-R 3 2"'
loop_
_atom_site_label
_atom_site_type_symbol
_atom_site_fract_x
_atom_site_fract_y
_atom_site_fract_z
Tb1 Tb 0.0000 0.0000 0.1056
Be1 Be 0.0000 0.5000 0.0000
Zn1 Zn 0.0000 0.0000 0.5000
Ni1 Ni 0.0140 0.5070 0.8687
Ni2 Ni 0.0425 0.5213 0.3653
# **Formation enthalpy at 0 K**: 0.212 eV per atom
# **Calculated total energy**: -261.79 eV per cell
# **Spin magnetization**: 0.000 μB per atom
# **DOS(E_F)**: 12.7 states/eV/f.u.